# Mn3CdCl8 PBE relaxed
# V (Å³ per cell): 625
# VASP energy (eV/atom): -4.68
data_Mn3CdCl8
_chemical_formula_sum 'Mn6 Cd2 Cl16'
_space_group_name_H-M_alt 'C 1 2/m 1'
_space_group_IT_number 12
_cell_length_a 13.041
_cell_length_b 7.529
_cell_length_c 7.745
_cell_angle_alpha 90.00
_cell_angle_beta 124.69
_cell_angle_gamma 90.00
loop_
_space_group_symop_operation_xyz
'x,y,z'
'-x,-y,-z'
'-x,y,-z'
'x,-y,z'
'x+1/2,y+1/2,z'
'-x+1/2,-y+1/2,-z'
'-x+1/2,y+1/2,-z'
'x+1/2,-y+1/2,z'
loop_
_atom_site_label
_atom_site_type_symbol
_atom_site_fract_x
_atom_site_fract_y
_atom_site_fract_z
Mn1 Mn 0.000 0.000 0.000
Mn2 Mn 0.250 0.250 0.000
Cd1 Cd 0.000 0.500 0.000
Cl1 Cl 0.012 0.241 0.780
Cl2 Cl 0.240 0.000 0.216
Cl3 Cl 0.247 0.500 0.220